# 1
NdNp2Se4: optimized geometry, PBE.

a = 4.0589 Å, b = 7.0813 Å, c = 13.8908 Å
α = 90.00°, β = 90.00°, γ = 106.65°
Element x y z (fractional)
Nd  0.6186  0.2372  0.7500
Nd  0.3814  0.7628  0.2500
Np  0.1339  0.2678  0.4345
Np  0.8661  0.7322  0.9345
Np  0.1339  0.2678  0.0655
Np  0.8661  0.7322  0.5655
Se  0.7743  0.5486  0.1240
Se  0.7743  0.5486  0.3760
Se  0.2257  0.4514  0.8760
Se  0.2257  0.4514  0.6240
Se  0.9596  0.9193  0.7500
Se  0.0404  0.0807  0.2500
Se  0.5000  0.0000  0.0000
Se  0.5000  0.0000  0.5000

The calculation puts the energy relative to the lowest polymorph listed for this composition at 0.00 kJ per mole of atoms. For the density, the calculation gives 8.1 g cm⁻³. Its total DFT energy (no corrections) is -108.15 eV per cell. As for the space-group type: Cmcm.

# 2
AcPm3Zn4: optimized geometry, PBE.

a = 5.2574 Å, b = 7.4677 Å, c = 10.5199 Å
α = 90.00°, β = 90.00°, γ = 90.00°
Element x y z (fractional)
Ac  0.0000  0.5000  0.0000
Ac  0.0000  0.5000  0.5000
Zn  0.5000  0.7638  0.0000
Zn  0.5000  0.7638  0.5000
Zn  0.5000  0.2362  0.0000
Zn  0.5000  0.2362  0.5000
Zn  0.0006  0.7640  0.7500
Zn  0.9994  0.7640  0.2500
Zn  0.9994  0.2360  0.2500
Zn  0.0006  0.2360  0.7500
Pm  0.0000  0.0000  0.0000
Pm  0.0000  0.0000  0.5000
Pm  0.5002  0.0000  0.7500
Pm  0.4998  0.0000  0.2500
Pm  0.5004  0.5000  0.7500
Pm  0.4996  0.5000  0.2500

For the formation energy, the calculation gives -0.283 eV per atom. For the density, the calculation gives 7.4 g cm⁻³. Its total DFT energy (no corrections) is -51.45 eV per cell. As for the space-group type: P4/mmm.

# 3
TbNd4Dy7: optimized geometry, PBE.

a = 5.9374 Å, b = 11.7106 Å, c = 6.7485 Å
α = 83.62°, β = 63.90°, γ = 75.31°
Element x y z (fractional)
Tb  0.0000  0.0000  0.0000
Nd  0.6393  0.2227  0.4987
Nd  0.3607  0.7773  0.5013
Nd  0.7753  0.6680  0.7814
Nd  0.2247  0.3320  0.2186
Dy  0.7884  0.9235  0.4998
Dy  0.2116  0.0765  0.5002
Dy  0.0683  0.6870  0.1764
Dy  0.9317  0.3130  0.8236
Dy  0.3680  0.4956  0.7684
Dy  0.5000  0.0000  0.0000
Dy  0.6320  0.5044  0.2316

For the formation energy, the calculation gives 0.264 eV per atom. The calculation puts the energy relative to the lowest polymorph listed for this composition at 17.11 kJ per mole of atoms. For the density, the calculation gives 7.6 g cm⁻³. Its total DFT energy (no corrections) is -52.75 eV per cell. As for the space-group type: C2/m.

# 4
AcPr5Sm6: optimized geometry, PBE.

a = 12.1774 Å, b = 6.4156 Å, c = 6.4170 Å
α = 60.01°, β = 84.96°, γ = 79.88°
Element x y z (fractional)
Ac  0.0000  0.0000  0.0000
Pr  0.5000  0.1670  0.6661
Pr  0.0000  0.3334  0.3332
Pr  0.5000  0.5000  0.0000
Pr  0.0000  0.6666  0.6668
Pr  0.5000  0.8330  0.3339
Sm  0.7478  0.0839  0.3354
Sm  0.2522  0.5806  0.3354
Sm  0.2524  0.2516  0.0000
Sm  0.7476  0.7484  0.0000
Sm  0.7478  0.4194  0.6646
Sm  0.2522  0.9161  0.6646

For the formation energy, the calculation gives 0.018 eV per atom. For the density, the calculation gives 7.1 g cm⁻³. Its total DFT energy (no corrections) is -56.11 eV per cell. As for the space-group type: C2/m.

# 5
AcMg2ScAg4: optimized geometry, PBE.

a = 4.8067 Å, b = 4.8067 Å, c = 9.5477 Å
α = 75.42°, β = 75.42°, γ = 60.00°
Element x y z (fractional)
Ac  0.0000  0.0000  0.0000
Mg  0.7636  0.7636  0.7092
Mg  0.2364  0.2364  0.2908
Sc  0.5000  0.5000  0.5000
Ag  0.3986  0.3986  0.8043
Ag  0.8739  0.8739  0.3783
Ag  0.1261  0.1261  0.6217
Ag  0.6014  0.6014  0.1957

For the formation energy, the calculation gives -0.253 eV per atom. For the density, the calculation gives 6.8 g cm⁻³. Its total DFT energy (no corrections) is -27.06 eV per cell. As for the space-group type: R-3m.

- What is the formula in the fourth record?
  AcPr5Sm6

- Look up the total DFT energy (no corrections) of the first one.
  -108.15 eV per cell

Repeat the fourth record exactly.
AcPr5Sm6: optimized geometry, PBE.

a = 12.1774 Å, b = 6.4156 Å, c = 6.4170 Å
α = 60.01°, β = 84.96°, γ = 79.88°
Element x y z (fractional)
Ac  0.0000  0.0000  0.0000
Pr  0.5000  0.1670  0.6661
Pr  0.0000  0.3334  0.3332
Pr  0.5000  0.5000  0.0000
Pr  0.0000  0.6666  0.6668
Pr  0.5000  0.8330  0.3339
Sm  0.7478  0.0839  0.3354
Sm  0.2522  0.5806  0.3354
Sm  0.2524  0.2516  0.0000
Sm  0.7476  0.7484  0.0000
Sm  0.7478  0.4194  0.6646
Sm  0.2522  0.9161  0.6646

For the formation energy, the calculation gives 0.018 eV per atom. For the density, the calculation gives 7.1 g cm⁻³. Its total DFT energy (no corrections) is -56.11 eV per cell. As for the space-group type: C2/m.

- The lowest total DFT energy (no corrections) belongs to which entry?
  NdNp2Se4